Record 1
PBE-GGA RbBPb, optimized geometry; ΔH_f (0 K) = 0.3548 eV/atom; V = 29.10 Å³/atom; total magnetic moment = 0.000 μB per atom; calculated total energy = -0.2521 Ry per atom
1.0
-0.104 3.306 -0.423
-6.286 -0.104 0.733
0.933 1.071 8.149
Rb Pb B
2 2 2
Cartesian
0.647 1.599 5.775
0.182 2.778 1.951
-2.453 3.310 6.760
-3.005 0.964 1.699
-2.729 2.137 4.230
-2.677 0.484 4.441

Record 2
PBE-GGA Sm8BiSe6, optimized geometry; formation energy (no corrections) = -1.401 eV per atom; V = 28.08 Å³/atom; total magnetic moment = 0.000 μB per atom; calculated total energy = -0.4094 Ry per atom
1.0
-2.147 3.584 -0.335
-7.680 -4.000 6.408
8.309 5.375 4.258
Sm Se Bi
8 6 1
Cartesian
-1.454 3.449 7.129
-0.064 1.510 3.202
-2.891 0.027 5.607
-6.562 0.394 7.180
-3.834 1.545 2.016
2.316 3.414 8.314
1.373 4.932 4.724
5.044 4.565 3.151
-3.978 2.003 7.508
0.893 2.315 5.997
3.983 4.152 5.854
-5.501 0.807 4.476
-2.411 2.644 4.334
2.460 2.956 2.822
-1.073 1.792 -0.168

Record 3
PBE-GGA Dy4CuSeS2, optimized geometry; formation energy (no corrections) = -1.474 eV per atom; V = 22.33 Å³/atom; total magnetic moment = 0.000 μB per atom; calculated total energy = -0.4230 Ry per atom
1.0
-0.347 -3.873 0.303
0.618 -0.596 -6.913
6.720 -0.724 -1.563
S Dy Cu Se
2 4 1 1
Cartesian
3.187 -2.299 -0.630
6.720 -0.724 -1.563
4.987 -2.623 -2.720
1.544 -4.203 -1.753
2.004 -2.570 -5.453
5.447 -0.990 -6.420
3.669 -0.660 -4.238
6.856 -2.958 -4.868